Record 1
The following is a DFT calculation (PBE) of an optimized crystal structure of GeIrS3.

```
GeIrS3
1.0
4.676 0.000 0.000
0.000 4.676 0.000
0.000 0.000 4.676
S Ge Ir
3 1 1
Direct
0.000 0.500 0.000
0.500 0.000 0.000
0.000 0.000 0.500
0.500 0.500 0.500
0.000 0.000 0.000
```

Calculated values
Formation energy (no corrections)   0.52 eV/atom
ρ   5.86 g cm⁻³
SG   Pm-3m, No. 221
Crystal system   cubic
Magnetic moment   0.0000 μB/atom

---

Record 2
The following is a DFT calculation (PBE) of an optimized crystal structure of Co3Os.

```
Co3Os
1.0
-2.725 2.293 0.231
-0.866 -1.351 3.187
3.942 1.919 -0.113
Co Os
3 1
Direct
0.250 0.750 0.500
0.500 0.500 0.000
0.750 0.250 0.500
0.000 0.000 0.000
```

Calculated values
ρ   13.35 g cm⁻³
SG   I4/mmm, No. 139
Crystal system   tetragonal
Magnetic moment   0.4804 μB/atom
Energy of formation   0.12 eV per atom

---

Record 3
The following is a DFT calculation (PBE) of an optimized crystal structure of Pm3HgOs.

```
Pm3HgOs
1.0
7.477 -0.225 -0.169
0.262 8.923 -0.381
0.262 2.155 8.667
Os Hg Pm
4 4 12
Direct
0.881 0.696 0.804
0.119 0.304 0.196
0.619 0.196 0.304
0.381 0.804 0.696
0.250 0.315 0.685
0.250 0.814 0.186
0.750 0.685 0.315
0.750 0.186 0.814
0.401 0.456 0.320
0.099 0.957 0.820
0.099 0.680 0.544
0.599 0.820 0.957
0.901 0.043 0.180
0.901 0.320 0.456
0.401 0.180 0.043
0.785 0.438 0.062
0.715 0.938 0.562
0.215 0.562 0.938
0.285 0.062 0.438
0.599 0.544 0.680
```

Calculated values
ρ   9.37 g cm⁻³
SG   C2/c, No. 15
Crystal system   monoclinic
Magnetic moment   0.0000 μB/atom
Energy of formation   -0.17 eV per atom

---

Record 4
The following is a DFT calculation (PBE) of an optimized crystal structure of USi6Rh12.

```
USi6Rh12
1.0
-4.797 -2.594 -4.323
5.484 -4.261 -0.453
-2.553 -0.848 6.418
Rh Si U
12 6 1
Direct
0.130 0.500 0.870
0.572 0.572 0.819
0.130 0.870 0.500
0.870 0.500 0.130
0.572 0.819 0.572
0.428 0.181 0.428
0.870 0.130 0.500
0.181 0.428 0.428
0.500 0.130 0.870
0.500 0.870 0.130
0.819 0.572 0.572
0.428 0.428 0.181
0.250 0.250 0.691
0.750 0.309 0.750
0.250 0.691 0.250
0.750 0.750 0.309
0.691 0.250 0.250
0.309 0.750 0.750
0.000 0.000 0.000
```

Calculated values
Formation energy (no corrections)   -0.64 eV/atom
ρ   9.45 g cm⁻³
SG   R-3m, No. 166
Crystal system   trigonal
Magnetic moment   0.1022 μB/atom

---

Record 5
The following is a DFT calculation (PBE) of an optimized crystal structure of LiThNiHg.

```
LiThNiHg
1.0
4.762 0.000 0.000
2.381 4.124 0.000
2.381 1.375 3.888
Li Hg Ni Th
1 1 1 1
Direct
0.750 0.750 0.750
0.500 0.500 0.500
0.250 0.250 0.250
0.000 0.000 0.000
```

Calculated values
ρ   10.84 g cm⁻³
SG   F-43m, No. 216
Crystal system   cubic
Magnetic moment   0.0000 μB/atom
Energy of formation   -0.19 eV per atom

---

Record 6
The following is a DFT calculation (PBE) of an optimized crystal structure of RbAlSn.

```
RbAlSn
1.0
0.712 4.955 -1.185
-4.617 -1.630 1.574
2.041 1.513 7.553
Sn Al Rb
2 2 2
Direct
0.667 0.333 0.951
0.333 0.667 0.451
0.667 0.333 0.554
0.333 0.667 0.054
0.000 0.000 0.745
0.000 0.000 0.245
```

Calculated values
ρ   4.20 g cm⁻³
SG   P6_3mc, No. 186
Crystal system   hexagonal
Magnetic moment   0.0000 μB/atom
Energy of formation   0.08 eV per atom

---

Record 7
The following is a DFT calculation (PBE) of an optimized crystal structure of LaGa2Cl8.

```
LaGa2Cl8
1.0
-3.206 5.988 -0.967
-4.631 -0.031 6.413
2.672 3.871 6.360
Cl Ga La
8 2 1
Direct
0.309 0.832 0.832
0.778 0.103 0.689
0.222 0.897 0.311
0.222 0.311 0.897
0.220 0.358 0.358
0.691 0.168 0.168
0.778 0.689 0.103
0.780 0.642 0.642
0.660 0.804 0.804
0.340 0.196 0.196
0.000 0.000 0.000
```

Calculated values
Formation energy (no corrections)   -1.40 eV/atom
ρ   2.48 g cm⁻³
SG   C2/m, No. 12
Crystal system   monoclinic
Magnetic moment   0.0000 μB/atom

---

Record 8
The following is a DFT calculation (PBE) of an optimized crystal structure of SrIrRu2.

```
SrIrRu2
1.0
-3.985 1.300 2.281
-2.922 -0.999 3.637
2.399 3.537 4.114
Sr Ru Ir
1 2 1
Direct
0.499 0.499 0.503
0.266 0.266 0.165
0.000 0.000 0.008
0.735 0.735 0.823
```

Calculated values
ρ   10.46 g cm⁻³
SG   Cm, No. 8
Crystal system   monoclinic
Magnetic moment   0.1521 μB/atom
Energy of formation   0.47 eV per atom

---

What did the seventh record say?
The following is a DFT calculation (PBE) of an optimized crystal structure of LaGa2Cl8.

```
LaGa2Cl8
1.0
-3.206 5.988 -0.967
-4.631 -0.031 6.413
2.672 3.871 6.360
Cl Ga La
8 2 1
Direct
0.309 0.832 0.832
0.778 0.103 0.689
0.222 0.897 0.311
0.222 0.311 0.897
0.220 0.358 0.358
0.691 0.168 0.168
0.778 0.689 0.103
0.780 0.642 0.642
0.660 0.804 0.804
0.340 0.196 0.196
0.000 0.000 0.000
```

Calculated values
Formation energy (no corrections)   -1.40 eV/atom
ρ   2.48 g cm⁻³
SG   C2/m, No. 12
Crystal system   monoclinic
Magnetic moment   0.0000 μB/atom

---

Look up the magnetic moment of the first one.
0.0000 μB/atom

---

Which value of ρ does entry 5 give?
10.84 g cm⁻³